No. 1
The following is a PBE-GGA calculation of crystalline AcPm2Pr5Nd at its relaxed geometry, from the Alexandria database.

Cell: 10.199 10.199 10.199 Å, 126.03 126.03 79.84°
Fractional positions:
1 Ac 0.250 0.750 0.500
2 Ac 0.750 0.250 0.500
3 Pm 0.112 0.612 0.724
4 Pm 0.388 0.112 0.500
5 Pm 0.612 0.888 0.500
6 Pm 0.888 0.388 0.276
7 Pr 0.000 0.000 0.000
8 Pr 0.079 0.159 0.500
9 Pr 0.159 0.659 0.080
10 Pr 0.341 0.421 0.500
11 Pr 0.421 0.921 0.080
12 Pr 0.500 0.500 0.000
13 Pr 0.579 0.079 0.920
14 Pr 0.659 0.579 0.500
15 Pr 0.841 0.341 0.920
16 Pr 0.921 0.841 0.500
17 Nd 0.250 0.250 0.000
18 Nd 0.750 0.750 0.000

## Properties
Symmetry: I4/mcm (140)
Raw total energy (eV/atom): -4.439
Energy relative to the elements (kJ/mol of atoms): 24.95
Density (Mg/m³): 6.77

***

No. 2
The following is a PBE-GGA calculation of crystalline LaCdCu2W at its relaxed geometry, from the Alexandria database.

Cell: 4.817 4.817 5.511 Å, 90.00 90.00 90.00°
Fractional positions:
1 La 0.000 0.000 0.000
2 Cd 0.000 0.000 0.500
3 Cu 0.000 0.500 0.000
4 Cu 0.500 0.000 0.000
5 W 0.500 0.500 0.500

## Properties
Symmetry: P4/mmm (123)
Raw total energy (eV/atom): -3.195
Energy relative to the elements (kJ/mol of atoms): 212.53
Density (Mg/m³): 7.30

***

No. 3
The following is a PBE-GGA calculation of crystalline Sr2GaSn4Pt3 at its relaxed geometry, from the Alexandria database.

Cell: 4.699 4.699 10.949 Å, 90.00 90.00 90.00°
Fractional positions:
1 Sr 0.000 0.500 0.244
2 Sr 0.500 0.000 0.756
3 Ga 0.500 0.500 0.000
4 Sn 0.000 0.000 0.500
5 Sn 0.000 0.500 0.867
6 Sn 0.500 0.000 0.133
7 Sn 0.500 0.500 0.500
8 Pt 0.000 0.000 0.000
9 Pt 0.000 0.500 0.624
10 Pt 0.500 0.000 0.376

## Properties
Symmetry: P-4m2 (115)
Raw total energy (eV/atom): -4.754
Energy relative to the elements (kJ/mol of atoms): -67.71
Density (Mg/m³): 8.96

***

No. 4
The following is a PBE-GGA calculation of crystalline NaEr2UO6 at its relaxed geometry, from the Alexandria database.

Cell: 6.094 6.094 6.094 Å, 57.04 57.04 57.04°
Fractional positions:
1 Na 0.000 0.000 0.000
2 Er 0.272 0.272 0.272
3 Er 0.781 0.781 0.781
4 U 0.481 0.481 0.481
5 O 0.095 0.642 0.420
6 O 0.193 0.559 0.872
7 O 0.420 0.095 0.642
8 O 0.559 0.872 0.193
9 O 0.642 0.420 0.095
10 O 0.872 0.193 0.559

## Properties
Symmetry: R3 (146)
Formation energy (no corrections) (meV/atom): -3197
Raw total energy (eV/atom): -8.346
Density (Mg/m³): 7.70

***

No. 5
The following is a PBE-GGA calculation of crystalline ZrTaP2S at its relaxed geometry, from the Alexandria database.

Cell: 4.929 4.929 4.729 Å, 90.00 90.00 90.00°
Fractional positions:
1 Zr 0.000 0.000 0.000
2 Ta 0.500 0.500 0.500
3 P 0.000 0.500 0.000
4 P 0.500 0.000 0.000
5 S 0.000 0.000 0.500

## Properties
Symmetry: P4/mmm (123)
Formation energy (no corrections) (meV/atom): 796
Raw total energy (eV/atom): -6.274
ΔE to the lowest computed polymorph (meV/atom): 740.9
Density (Mg/m³): 5.29

***

No. 6
The following is a PBE-GGA calculation of crystalline Ce3H8Rh2 at its relaxed geometry, from the Alexandria database.

Cell: 7.237 7.237 7.237 Å, 40.93 40.93 40.93°
Fractional positions:
1 Ce 0.000 0.000 0.000
2 Ce 0.209 0.209 0.209
3 Ce 0.791 0.791 0.791
4 H 0.169 0.760 0.760
5 H 0.240 0.240 0.831
6 H 0.240 0.831 0.240
7 H 0.338 0.338 0.338
8 H 0.662 0.662 0.662
9 H 0.760 0.169 0.760
10 H 0.760 0.760 0.169
11 H 0.831 0.240 0.240
12 Rh 0.422 0.422 0.422
13 Rh 0.578 0.578 0.578

## Properties
Symmetry: R-3m (166)
Raw total energy (eV/atom): -4.999
Density (Mg/m³): 7.17

***

No. 7
The following is a PBE-GGA calculation of crystalline ScHgAs2Br at its relaxed geometry, from the Alexandria database.

Cell: 5.263 5.263 5.246 Å, 90.00 90.00 90.00°
Fractional positions:
1 Sc 0.000 0.000 0.000
2 Hg 0.500 0.500 0.500
3 As 0.000 0.500 0.000
4 As 0.500 0.000 0.000
5 Br 0.000 0.000 0.500

## Properties
Symmetry: P4/mmm (123)
Formation energy (no corrections) (meV/atom): -100
Raw total energy (eV/atom): -3.621
ΔE to the lowest computed polymorph (meV/atom): 0.0
Density (Mg/m³): 5.43

***

No. 8
The following is a PBE-GGA calculation of crystalline CsBe3F at its relaxed geometry, from the Alexandria database.

Cell: 4.908 4.908 4.908 Å, 90.00 90.00 90.00°
Fractional positions:
1 Cs 0.000 0.000 0.000
2 Be 0.000 0.500 0.500
3 Be 0.500 0.000 0.500
4 Be 0.500 0.500 0.000
5 F 0.500 0.500 0.500

## Properties
Symmetry: Pm-3m (221)
Formation energy (no corrections) (meV/atom): 1067
Raw total energy (eV/atom): -1.714
ΔE to the lowest computed polymorph (meV/atom): 0.0
Density (Mg/m³): 2.51

***

No. 9
The following is a PBE-GGA calculation of crystalline LaTmHg2 at its relaxed geometry, from the Alexandria database.

Cell: 3.721 3.721 7.856 Å, 90.00 90.00 90.00°
Fractional positions:
1 La 0.000 0.000 0.000
2 Tm 0.000 0.000 0.500
3 Hg 0.500 0.500 0.279
4 Hg 0.500 0.500 0.721

## Properties
Symmetry: P4/mmm (123)
Raw total energy (eV/atom): -2.991
Energy relative to the elements (kJ/mol of atoms): -47.32
Density (Mg/m³): 10.83

***

No. 10
The following is a PBE-GGA calculation of crystalline PrPuNi2 at its relaxed geometry, from the Alexandria database.

Cell: 4.868 4.868 4.868 Å, 60.00 60.00 60.00°
Fractional positions:
1 Pr 0.000 0.000 0.000
2 Pu 0.500 0.500 0.500
3 Ni 0.250 0.250 0.250
4 Ni 0.750 0.750 0.750

## Properties
Symmetry: Fm-3m (225)
Raw total energy (eV/atom): -7.737
Energy relative to the elements (kJ/mol of atoms): -6.59
Density (Mg/m³): 10.23

***

No. 11
The following is a PBE-GGA calculation of crystalline NaCd2BiF8 at its relaxed geometry, from the Alexandria database.

Cell: 3.956 5.567 7.860 Å, 90.00 90.00 90.00°
Fractional positions:
1 Na 0.000 0.000 0.000
2 Cd 0.500 0.500 0.228
3 Cd 0.500 0.500 0.772
4 Bi 0.000 0.000 0.500
5 F 0.000 0.257 0.264
6 F 0.000 0.257 0.736
7 F 0.000 0.743 0.264
8 F 0.000 0.743 0.736
9 F 0.500 0.247 0.500
10 F 0.500 0.254 0.000
11 F 0.500 0.746 0.000
12 F 0.500 0.753 0.500

## Properties
Symmetry: Pmmm (47)
Formation energy (no corrections) (meV/atom): -2375
Raw total energy (eV/atom): -4.209
Density (Mg/m³): 5.84

***

No. 12
The following is a PBE-GGA calculation of crystalline Na2LiBeAs2 at its relaxed geometry, from the Alexandria database.

Cell: 8.053 8.053 8.053 Å, 138.05 60.32 138.72°
Fractional positions:
1 Na 0.176 0.232 0.408
2 Na 0.324 0.732 0.055
3 Na 0.676 0.268 0.945
4 Na 0.824 0.768 0.592
5 Li 0.250 0.250 0.000
6 Li 0.750 0.750 0.000
7 Be 0.250 0.750 0.500
8 Be 0.750 0.250 0.500
9 As 0.102 0.718 0.820
10 As 0.398 0.218 0.617
11 As 0.602 0.782 0.383
12 As 0.898 0.282 0.180

## Properties
Symmetry: Ibam (72)
Raw total energy (eV/atom): -3.341
Energy relative to the elements (kJ/mol of atoms): -39.75
Density (Mg/m³): 3.09